CrOsN2: relaxed, PBE.

Properties
Fermi-level density of states	2.79	states/eV/cell
energy	-9.293	eV per atom
M_tot	2.2	Bohr magnetons per cell

The structure in POSCAR format:
```
CrOsN2
1.0
-2.653 -2.425 2.041
0.690 -3.040 -2.715
2.862 -4.474 2.591
Cr Os N
2 2 4
direct
0.500 0.500 0.000
0.250 0.750 0.500
0.000 0.000 0.000
0.750 0.250 0.500
0.607 0.125 0.250
0.143 0.625 0.250
0.375 0.393 0.750
0.875 0.857 0.750
```